# Ho2PdO4 (PBE-GGA, optimized geometry)
data_Ho2PdO4
_cell_length_a 5.9705
_cell_length_b 5.9705
_cell_length_c 5.8011
_cell_angle_alpha 114.53
_cell_angle_beta 114.53
_cell_angle_gamma 33.84
_symmetry_space_group_name_H-M 'P 1'
_symmetry_Int_Tables_number 1
_symmetry_space_group_name_Hall 'P 1'
loop_
_atom_site_label
_atom_site_type_symbol
_atom_site_fract_x
_atom_site_fract_y
_atom_site_fract_z
_atom_site_occupancy
Ho1 Ho 0.2127 0.2127 0.2190 1
Ho2 Ho 0.7873 0.7873 0.7810 1
Pd1 Pd 0.5000 0.5000 0.5000 1
O1 O 0.1598 0.1598 0.8022 1
O2 O 0.3693 0.3693 0.6509 1
O3 O 0.6307 0.6307 0.3491 1
O4 O 0.8402 0.8402 0.1978 1
# **Magnetization**: 0.0 μB/cell
# **D(E_F)**: 0.31 states/eV per atom
# **Formation energy (no corrections)**: -2.4009 eV/atom
# **Polymorph energy (0 for the lowest one)**: 0.2801 eV per atom